1.
Material: Al4Zn3
Method: DFT, GGA-PBEsol
State: relaxed

Unit cell a=4.9601 b=4.9601 c=5.1725 alpha=90.00 beta=90.00 gamma=120.00
Closest atoms and distances in Å follow each position.
Space group P6/mmm (No. 191)
One atom of each set of equivalent atoms:
Al: 0.0000 0.0000 0.2431 x2  2 Al 2.52-2.66, 6 Zn 2.81
Al: 0.3333 0.6667 0.0000 x2  9 Al 2.86-3.13, 6 Zn 2.96
Zn: 0.0000 0.5000 0.5000 x3  4 Zn 2.48


2.
Material: Al3Zn
Method: DFT, GGA-PBEsol
State: relaxed

Unit cell a=2.9073 b=4.6023 c=4.7704 alpha=90.00 beta=90.00 gamma=90.00
Closest atoms and distances in Å follow each position.
Space group Pmm2 (No. 25)
One atom of each set of equivalent atoms:
Al: 0.0000 0.0000 0.0000 x1  8 Al 2.78-2.91, 4 Zn 2.83
Al: 0.0000 0.5000 0.3371 x1  4 Zn 2.79-2.80, 8 Al 2.81-2.91
Al: 0.5000 0.0000 0.5022 x1  10 Al 2.78-2.91, 2 Zn 2.80
Zn: 0.5000 0.5000 0.8358 x1  10 Al 2.79-2.83, 2 Zn 2.91


3.
Material: Al2Zn
Method: DFT, GGA-PBEsol
State: relaxed

Unit cell a=2.8328 b=3.8813 c=8.5548 alpha=90.00 beta=90.00 gamma=90.00
Closest atoms and distances in Å follow each position.
Space group Immm (No. 71)
One atom of each set of equivalent atoms:
Al: 0.0000 0.0000 0.1642 x4  5 Zn 2.78-2.87, 7 Al 2.81-2.83
Zn: 0.0000 0.0000 0.5000 x2  10 Al 2.78-2.87, 2 Zn 2.83


4.
Material: Al3Zn
Method: DFT, GGA-PBEsol
State: relaxed

Unit cell a=3.9807 b=3.9807 c=3.9807 alpha=90.00 beta=90.00 gamma=90.00
Closest atoms and distances in Å follow each position.
Space group Pm-3m (No. 221)
One atom of each set of equivalent atoms:
Al: 0.0000 0.0000 0.5000 x3  8 Al 2.81, 4 Zn 2.81
Zn: 0.5000 0.5000 0.5000 x1  12 Al 2.81


5.
Material: AlZn5
Method: DFT, GGA-PBEsol
State: relaxed

Unit cell a=10.5812 b=2.6596 c=6.7661 alpha=90.00 beta=112.56 gamma=90.00
Closest atoms and distances in Å follow each position.
Space group Cm (No. 8)
One atom of each set of equivalent atoms:
Al: 0.0000 0.0000 0.0000 x2  10 Zn 2.64-2.95, 2 Al 2.66
Zn: 0.0557 0.0000 0.6109 x2  11 Zn 2.63-2.85, 1 Al 2.91
Zn: 0.1627 0.5000 0.3397 x2  9 Zn 2.60-2.85, 2 Al 2.64
Zn: 0.2228 0.5000 0.9441 x2  8 Zn 2.63-2.91, 3 Al 2.81-2.86
Zn: 0.3325 0.0000 0.6621 x2  10 Zn 2.60-2.91, 2 Al 2.65
Zn: 0.3837 0.0000 0.2813 x2  10 Zn 2.63-2.85

Its polymorph energy (0 for the lowest one) is 0.08 eV per formula unit.


6.
Material: Al2Zn
Method: DFT, GGA-PBEsol
State: relaxed

Unit cell a=3.4467 b=3.4467 c=8.1358 alpha=90.00 beta=90.00 gamma=90.00
Closest atoms and distances in Å follow each position.
Space group I4/mmm (No. 139)
One atom of each set of equivalent atoms:
Al: 0.0000 0.0000 0.1656 x4  5 Al 2.69-2.80, 5 Zn 2.72-2.78
Zn: 0.0000 0.0000 0.5000 x2  10 Al 2.72-2.78


7.
Material: Al5Zn
Method: DFT, GGA-PBEsol
State: relaxed

Unit cell a=2.8248 b=2.8248 c=11.9063 alpha=90.00 beta=90.00 gamma=90.00
Closest atoms and distances in Å follow each position.
Space group P4/mmm (No. 123)
One atom of each set of equivalent atoms:
Al: 0.0000 0.0000 0.0000 x1  12 Al 2.82-2.83
Al: 0.0000 0.0000 0.3391 x2  4 Zn 2.77, 8 Al 2.82-2.85
Al: 0.5000 0.5000 0.1684 x2  12 Al 2.82-2.85
Zn: 0.5000 0.5000 0.5000 x1  8 Al 2.77, 4 Zn 2.82

Its polymorph energy (0 for the lowest one) is 0.00 eV per formula unit.


8.
Material: Al5Zn
Method: DFT, GGA-PBEsol
State: relaxed

Unit cell a=3.9788 b=11.9586 c=4.0006 alpha=90.00 beta=90.00 gamma=90.00
Closest atoms and distances in Å follow each position.
Space group Cmmm (No. 65)
One atom of each set of equivalent atoms:
Al: 0.0000 0.0000 0.0000 x2  8 Al 2.81, 4 Zn 2.82
Al: 0.0000 0.1653 0.5000 x4  2 Zn 2.80, 10 Al 2.81-2.84
Al: 0.0000 0.3343 0.0000 x4  10 Al 2.81-2.84, 2 Zn 2.82
Zn: 0.0000 0.5000 0.5000 x2  12 Al 2.80-2.82

Its polymorph energy (0 for the lowest one) is 0.05 eV per formula unit.


9.
Material: Al3Zn
Method: DFT, GGA-PBEsol
State: relaxed

Unit cell a=2.7533 b=4.8555 c=9.6800 alpha=90.00 beta=90.00 gamma=90.00
Closest atoms and distances in Å follow each position.
Space group Immm (No. 71)
One atom of each set of equivalent atoms:
Al: 0.0000 0.0000 0.0000 x2  6 Al 2.75-2.85, 4 Zn 2.79
Al: 0.0000 0.5000 0.2427 x4  2 Zn 2.72, 8 Al 2.75-2.85
Zn: 0.0000 0.0000 0.5000 x2  8 Al 2.72-2.79, 2 Zn 2.75


10.
Material: Al3Zn
Method: DFT, GGA-PBEsol
State: relaxed

Unit cell a=2.8172 b=2.8172 c=9.2450 alpha=90.00 beta=90.00 gamma=120.00
Closest atoms and distances in Å follow each position.
Space group P-6m2 (No. 187)
One atom of each set of equivalent atoms:
Al: 0.0000 0.0000 0.0000 x1  12 Al 2.82-2.87
Al: 0.6667 0.3333 0.2556 x2  3 Zn 2.78, 9 Al 2.82-2.87
Zn: 0.0000 0.0000 0.5000 x1  6 Al 2.78, 6 Zn 2.82


11.
Material: Al3Zn
Method: DFT, GGA-PBEsol
State: relaxed

Unit cell a=2.8105 b=2.8105 c=27.5033 alpha=90.00 beta=90.00 gamma=120.00
Closest atoms and distances in Å follow each position.
Space group R-3m (No. 166, hexagonal axes)
One atom of each set of equivalent atoms:
Al: 0.0000 0.0000 0.0000 x3  12 Al 2.81-2.84
Al: 0.0000 0.0000 0.2485 x6  3 Zn 2.77, 9 Al 2.81-2.84
Zn: 0.0000 0.0000 0.5000 x3  6 Al 2.77, 6 Zn 2.81


12.
Material: AlZn5
Method: DFT, GGA-PBEsol
State: relaxed

Unit cell a=3.8686 b=11.6277 c=3.8853 alpha=90.00 beta=90.00 gamma=90.00
Closest atoms and distances in Å follow each position.
Space group Cmmm (No. 65)
One atom of each set of equivalent atoms:
Al: 0.0000 0.0000 0.0000 x2  12 Zn 2.74-2.75
Zn: 0.0000 0.1678 0.5000 x4  10 Zn 2.72-2.75, 2 Al 2.75
Zn: 0.0000 0.3316 0.0000 x4  10 Zn 2.71-2.76, 2 Al 2.75
Zn: 0.0000 0.5000 0.5000 x2  4 Al 2.74, 8 Zn 2.75-2.76

Its polymorph energy (0 for the lowest one) is 0.01 eV per formula unit.


13.
Material: Al5Zn
Method: DFT, GGA-PBEsol
State: relaxed

Unit cell a=4.8904 b=4.8904 c=4.6709 alpha=90.00 beta=90.00 gamma=120.00
Closest atoms and distances in Å follow each position.
Space group P-62m (No. 189)
One atom of each set of equivalent atoms:
Al: 0.0000 0.3330 0.0000 x3  10 Al 2.82-2.85, 2 Zn 2.85
Al: 0.3333 0.6667 0.5000 x2  3 Zn 2.82, 9 Al 2.82-2.85
Zn: 0.0000 0.0000 0.5000 x1  12 Al 2.82-2.85

Its polymorph energy (0 for the lowest one) is 0.26 eV per formula unit.


14.
Material: Al2Zn
Method: DFT, GGA-PBEsol
State: relaxed

Unit cell a=5.9269 b=5.9269 c=5.9269 alpha=90.00 beta=90.00 gamma=90.00
Closest atoms and distances in Å follow each position.
Space group Fm-3m (No. 225)
One atom of each set of equivalent atoms:
Al: 0.2500 0.2500 0.2500 x8  4 Zn 2.57
Zn: 0.0000 0.0000 0.0000 x4  8 Al 2.57


15.
Material: Al3Zn
Method: DFT, GGA-PBEsol
State: relaxed

Unit cell a=2.8084 b=2.8084 c=7.9736 alpha=90.00 beta=90.00 gamma=90.00
Closest atoms and distances in Å follow each position.
Space group P4/mmm (No. 123)
One atom of each set of equivalent atoms:
Al: 0.0000 0.0000 0.0000 x1  12 Al 2.81-2.85
Al: 0.5000 0.5000 0.2563 x2  4 Zn 2.78, 8 Al 2.81-2.85
Zn: 0.0000 0.0000 0.5000 x1  8 Al 2.78, 4 Zn 2.81


16.
Material: Al4Zn5
Method: DFT, GGA-PBEsol
State: relaxed

Unit cell a=8.3231 b=8.3231 c=3.9310 alpha=90.00 beta=90.00 gamma=90.00
Closest atoms and distances in Å follow each position.
Space group I4/mmm (No. 139)
One atom of each set of equivalent atoms:
Al: 0.0000 0.3271 0.0000 x8  7 Zn 2.72-2.79, 5 Al 2.83-2.88
Zn: 0.0000 0.0000 0.0000 x2  4 Al 2.72, 8 Zn 2.76
Zn: 0.1649 0.1649 0.5000 x8  6 Zn 2.75-2.81, 6 Al 2.75-2.79


17.
Material: Al2Zn
Method: DFT, GGA-PBEsol
State: relaxed

Unit cell a=6.2072 b=6.2072 c=4.9854 alpha=90.00 beta=90.00 gamma=90.00
Closest atoms and distances in Å follow each position.
Space group I4/mcm (No. 140)
One atom of each set of equivalent atoms:
Al: 0.1524 0.3476 0.0000 x8  4 Zn 2.67, 1 Al 2.68
Zn: 0.0000 0.0000 0.2500 x4  2 Zn 2.49, 8 Al 2.67


18.
Material: Al3Zn
Method: DFT, GGA-PBEsol
State: relaxed

Unit cell a=2.8518 b=9.3755 c=4.7542 alpha=90.00 beta=90.00 gamma=90.00
Closest atoms and distances in Å follow each position.
Space group Imm2 (No. 44)
One atom of each set of equivalent atoms:
Al: 0.0000 0.0000 0.0000 x2  4 Zn 2.76-2.79, 8 Al 2.83-2.86
Al: 0.0000 0.2481 0.3379 x4  9 Al 2.77-2.86, 3 Zn 2.84-2.85
Zn: 0.0000 0.5000 0.0032 x2  10 Al 2.76-2.85, 2 Zn 2.85


19.
Material: Al5Zn
Method: DFT, GGA-PBEsol
State: relaxed

Unit cell a=4.6467 b=2.8862 c=14.3645 alpha=90.00 beta=90.00 gamma=90.00
Closest atoms and distances in Å follow each position.
Space group Amm2 (No. 38)
One atom of each set of equivalent atoms:
Al: 0.0000 0.0000 0.0000 x2  2 Zn 2.76, 10 Al 2.82-2.89
Al: 0.0000 0.0000 0.3296 x2  2 Zn 2.78, 10 Al 2.84-2.89
Al: 0.5000 0.0000 0.1113 x2  8 Al 2.77-2.89, 4 Zn 2.84
Al: 0.5000 0.0000 0.4432 x2  12 Al 2.81-2.89
Al: 0.5000 0.0000 0.7756 x2  10 Al 2.77-2.89, 2 Zn 2.82
Zn: 0.0000 0.0000 0.6641 x2  10 Al 2.76-2.84, 2 Zn 2.89

Its polymorph energy (0 for the lowest one) is 0.26 eV per formula unit.


20.
Material: Al3Zn
Method: DFT, GGA-PBEsol
State: relaxed

Unit cell a=4.9061 b=9.2169 c=5.5872 alpha=90.00 beta=90.00 gamma=90.00
Closest atoms and distances in Å follow each position.
Space group Pnma (No. 62)
One atom of each set of equivalent atoms:
Al: 0.0810 0.2500 0.1245 x4  4 Zn 2.79-2.83, 8 Al 2.81-2.84
Al: 0.2473 0.5022 0.3738 x8  9 Al 2.79-2.85, 3 Zn 2.80-2.83
Zn: 0.0839 0.2500 0.6235 x4  10 Al 2.79-2.83, 2 Zn 2.83


21.
Material: Al2Zn
Method: DFT, GGA-PBEsol
State: relaxed

Unit cell a=2.7988 b=4.8027 c=7.5347 alpha=97.14 beta=100.50 gamma=106.73
Closest atoms and distances in Å follow each position.
Space group P-1 (No. 2)
One atom of each set of equivalent atoms:
Al: 0.0000 0.0000 0.0000 x1  8 Al 2.80-2.81, 4 Zn 2.86
Al: 0.1630 0.4933 0.8297 x2  3 Zn 2.76-2.82, 9 Al 2.80-2.88
Al: 0.5000 0.5000 0.5000 x1  6 Zn 2.75-2.80, 6 Al 2.80-2.83
Zn: 0.3316 0.9970 0.6633 x2  8 Al 2.75-2.86, 4 Zn 2.79-2.81


22.
Material: AlZn5
Method: DFT, GGA-PBEsol
State: relaxed

Unit cell a=4.8849 b=2.6754 c=13.4730 alpha=90.00 beta=90.00 gamma=90.00
Closest atoms and distances in Å follow each position.
Space group Amm2 (No. 38)
One atom of each set of equivalent atoms:
Al: 0.0000 0.0000 0.0000 x2  10 Zn 2.63-2.89, 2 Al 2.68
Zn: 0.0000 0.0000 0.3319 x2  10 Zn 2.58-2.89, 2 Al 2.63
Zn: 0.0000 0.0000 0.6683 x2  6 Zn 2.58-2.83, 2 Al 2.63
Zn: 0.5000 0.0000 0.1090 x2  10 Zn 2.61-2.90, 2 Al 2.85
Zn: 0.5000 0.0000 0.4416 x2  8 Zn 2.61-2.85, 4 Al 2.89
Zn: 0.5000 0.0000 0.7751 x2  12 Zn 2.61-2.89

Its polymorph energy (0 for the lowest one) is 0.09 eV per formula unit.


23.
Material: Al5Zn
Method: DFT, GGA-PBEsol
State: relaxed

Unit cell a=10.3434 b=2.8182 c=6.9177 alpha=90.00 beta=107.33 gamma=90.00
Closest atoms and distances in Å follow each position.
Space group Cm (No. 8)
One atom of each set of equivalent atoms:
Al: 0.0000 0.0000 0.0000 x2  10 Al 2.80-2.96, 2 Zn 2.85
Al: 0.0513 0.0000 0.6012 x2  2 Zn 2.79, 10 Al 2.80-2.96
Al: 0.1694 0.5000 0.3313 x2  9 Al 2.80-2.89, 3 Zn 2.80-2.81
Al: 0.2204 0.5000 0.9420 x2  2 Zn 2.80, 10 Al 2.80-2.89
Al: 0.3316 0.0000 0.6660 x2  11 Al 2.80-2.87, 1 Zn 2.96
Zn: 0.3884 0.0000 0.2705 x2  10 Al 2.79-2.96, 2 Zn 2.82

Its polymorph energy (0 for the lowest one) is 0.24 eV per formula unit.


24.
Material: AlZn5
Method: DFT, GGA-PBEsol
State: relaxed

Unit cell a=4.5274 b=4.5274 c=4.9643 alpha=90.00 beta=90.00 gamma=120.00
Closest atoms and distances in Å follow each position.
Space group P-62m (No. 189)
One atom of each set of equivalent atoms:
Al: 0.0000 0.0000 0.0000 x1  12 Zn 2.61-2.91
Zn: 0.0000 0.6656 0.5000 x3  10 Zn 2.61-2.90, 2 Al 2.91
Zn: 0.3333 0.6667 0.0000 x2  3 Al 2.61, 9 Zn 2.61-2.90

Its polymorph energy (0 for the lowest one) is 0.09 eV per formula unit.


25.
Material: ZrAlZn2
Method: DFT, GGA-PBEsol
State: relaxed

Unit cell a=3.9985 b=3.9985 c=4.0430 alpha=90.00 beta=90.00 gamma=90.00
Closest atoms and distances in Å follow each position.
Space group P4/mmm (No. 123)
One atom of each set of equivalent atoms:
Zr: 0.0000 0.0000 0.0000 x1  4 Al 2.83, 8 Zn 2.84
Al: 0.5000 0.5000 0.0000 x1  4 Zr 2.83, 8 Zn 2.84
Zn: 0.0000 0.5000 0.5000 x2  4 Zn 2.83, 4 Al 2.84, 4 Zr 2.84


26.
Material: ZrAlZn2
Method: DFT, GGA-PBEsol
State: relaxed

Unit cell a=8.7005 b=3.0107 c=5.2298 alpha=90.00 beta=100.91 gamma=90.00
Closest atoms and distances in Å follow each position.
Space group C2/m (No. 12)
One atom of each set of equivalent atoms:
Zr: 0.0000 0.0000 0.0000 x2  6 Zn 2.80-2.86, 2 Zr 3.01, 4 Al 3.02
Al: 0.0000 0.5000 0.5000 x2  6 Zn 2.67-2.69
Zn: 0.2432 0.0000 0.7172 x4  3 Al 2.67-2.69, 2 Zn 2.75, 3 Zr 2.80-2.86


27.
Material: ZrAlZn2
Method: DFT, GGA-PBEsol
State: relaxed

Unit cell a=3.1047 b=3.1047 c=6.7399 alpha=90.00 beta=90.00 gamma=90.00
Closest atoms and distances in Å follow each position.
Space group P4/mmm (No. 123)
One atom of each set of equivalent atoms:
Zr: 0.0000 0.0000 0.0000 x1  8 Zn 2.89, 4 Zr 3.10
Al: 0.0000 0.0000 0.5000 x1  8 Zn 2.65
Zn: 0.5000 0.5000 0.2798 x2  4 Al 2.65, 4 Zr 2.89


28.
Material: Zr2AlZn2
Method: DFT, GGA-PBEsol
State: relaxed

Unit cell a=6.5844 b=6.5844 c=4.0721 alpha=90.00 beta=90.00 gamma=90.00
Closest atoms and distances in Å follow each position.
Space group P4/mbm (No. 127)
One atom of each set of equivalent atoms:
Zr: 0.1693 0.3307 0.0000 x4  6 Zn 2.76-2.85
Al: 0.0000 0.0000 0.5000 x2  4 Zn 2.58
Zn: 0.1309 0.6309 0.5000 x4  1 Zn 2.44, 2 Al 2.58


| no. | DFT formation energy (eV per atom) |
| --- | --- |
| 1 | 0.08 |
| 2 | 0.06 |
| 3 | 0.03 |
| 4 | 0.03 |
| 5 | 0.03 |
| 6 | 0.10 |
| 7 | 0.01 |
| 8 | 0.02 |
| 9 | 0.09 |
| 10 | 0.05 |
| 11 | 0.01 |
| 12 | 0.02 |
| 13 | 0.05 |
| 14 | 0.06 |
| 15 | 0.02 |
| 16 | 0.02 |
| 17 | 0.06 |
| 18 | 0.06 |
| 19 | 0.05 |
| 20 | 0.03 |
| 21 | 0.02 |
| 22 | 0.04 |
| 23 | 0.05 |
| 24 | 0.04 |
| 25 | -0.42 |
| 26 | -0.14 |
| 27 | -0.18 |
| 28 | -0.36 |